Computed, not measured: a relaxed structure of ZrSi4Ir3 at the PBE level of DFT.

Summary:
Its space group is Pm. The total moment is 0.00 μB per cell. The calculated total energy is -7.639 eV per atom.

Geometry as POSCAR:
```
ZrSi4Ir3
1.0
5.1690 0.0000 0.0000
0.0000 3.7551 0.0000
-1.3265 0.0000 6.4247
Zr Si Ir
1 4 3
direct
0.0000 0.0000 0.0000 Zr
0.1208 0.5000 0.6766 Si
0.5051 0.0000 0.2060 Si
0.5170 0.0000 0.7240 Si
0.8613 0.5000 0.2817 Si
0.3321 0.5000 0.3657 Ir
0.4999 0.5000 0.9649 Ir
0.8393 0.0000 0.5238 Ir
```



Computed, not measured: a relaxed structure of Cd13Co at the PBE level of DFT.

Summary:
Its space group is C2/m. The total moment is 0.03 μB per cell. The calculated total energy is -1.288 eV per atom. The value obtained for the energy of formation is 0.051 eV per atom.

Geometry as POSCAR:
```
Cd13Co
1.0
6.0125 -4.1863 0.0000
6.0125 4.1863 0.0000
-1.0980 0.0000 5.5305
Cd Co
13 1
direct
0.0000 0.0000 0.0000 Cd
0.0021 0.6489 0.1983 Cd
0.2183 0.2183 0.3716 Cd
0.2186 0.6244 0.6772 Cd
0.3511 0.9979 0.8017 Cd
0.3756 0.7814 0.3228 Cd
0.3878 0.3878 0.0784 Cd
0.6122 0.6122 0.9216 Cd
0.6244 0.2186 0.6772 Cd
0.6489 0.0021 0.1983 Cd
0.7814 0.3756 0.3228 Cd
0.7817 0.7817 0.6284 Cd
0.9979 0.3511 0.8017 Cd
0.0000 0.0000 0.5000 Co
```



Computed, not measured: a relaxed structure of DyEr2In3CuAu2 at the PBE level of DFT.

Summary:
Its space group is Amm2. The total moment is 0.00 μB per cell. The calculated total energy is -4.242 eV per atom.

Geometry as POSCAR:
```
DyEr2In3CuAu2
1.0
3.8494 0.0000 0.0000
0.0000 6.7179 3.8708
0.0000 -6.7179 3.8708
Dy Er In Cu Au
1 2 3 1 2
direct
0.0000 0.0000 0.0000 Dy
0.0000 0.1942 0.5970 Er
0.0000 0.5970 0.1942 Er
0.5000 0.3463 0.3463 In
0.5000 0.5965 0.8476 In
0.5000 0.8476 0.5965 In
0.0000 0.5966 0.5966 Cu
0.5000 0.2645 0.9299 Au
0.5000 0.9299 0.2645 Au
```



Computed, not measured: a relaxed structure of Ac2AgSbO6 at the PBE level of DFT.

Summary:
Its space group is C2/m. The total moment is 0.00 μB per cell. The calculated total energy is -6.732 eV per atom.

Geometry as POSCAR:
```
Ac2AgSbO6
1.0
5.1466 -2.8666 0.0000
5.1466 2.8666 0.0000
-3.0960 0.0000 5.1136
Ac Ag Sb O
2 1 1 6
direct
0.2458 0.2458 0.2326 Ac
0.7542 0.7542 0.7674 Ac
0.0000 0.0000 0.5000 Ag
0.5000 0.5000 0.0000 Sb
0.1855 0.6688 0.1506 O
0.2907 0.2907 0.6771 O
0.3312 0.8145 0.8494 O
0.6688 0.1855 0.1506 O
0.7093 0.7093 0.3229 O
0.8145 0.3312 0.8494 O
```



> Look up the total moment of the third one.

0.00 μB per cell



Please write out number 2 again, unchanged.
Computed, not measured: a relaxed structure of Cd13Co at the PBE level of DFT.

Summary:
Its space group is C2/m. The total moment is 0.03 μB per cell. The calculated total energy is -1.288 eV per atom. The value obtained for the energy of formation is 0.051 eV per atom.

Geometry as POSCAR:
```
Cd13Co
1.0
6.0125 -4.1863 0.0000
6.0125 4.1863 0.0000
-1.0980 0.0000 5.5305
Cd Co
13 1
direct
0.0000 0.0000 0.0000 Cd
0.0021 0.6489 0.1983 Cd
0.2183 0.2183 0.3716 Cd
0.2186 0.6244 0.6772 Cd
0.3511 0.9979 0.8017 Cd
0.3756 0.7814 0.3228 Cd
0.3878 0.3878 0.0784 Cd
0.6122 0.6122 0.9216 Cd
0.6244 0.2186 0.6772 Cd
0.6489 0.0021 0.1983 Cd
0.7814 0.3756 0.3228 Cd
0.7817 0.7817 0.6284 Cd
0.9979 0.3511 0.8017 Cd
0.0000 0.0000 0.5000 Co
```



> Among the records above, which one has the highest total moment?

Cd13Co